First-principles (PBE) data for a geometry-optimized Ba2NaNpTe4 structure, as listed in the Alexandria database.

Output
For the density of states at the Fermi level, the calculation gives 0.78 states/eV per atom. For the total energy, the calculation gives -40.57 eV/cell. The value obtained for the magnetic moment is 4.00 μB per formula unit.

Geometry as CIF:
```
data_Ba2NaNpTe4
_chemical_formula_sum 'Ba2 Na1 Np1 Te4'
_space_group_name_H-M_alt 'P 1 2/m 1'
_space_group_IT_number 10
_cell_length_a 8.217
_cell_length_b 4.781
_cell_length_c 8.262
_cell_angle_alpha 90.00
_cell_angle_beta 109.08
_cell_angle_gamma 90.00
loop_
_space_group_symop_operation_xyz
'x,y,z'
'-x,-y,-z'
'-x,y,-z'
'x,-y,z'
loop_
_atom_site_label
_atom_site_type_symbol
_atom_site_fract_x
_atom_site_fract_y
_atom_site_fract_z
_atom_site_occupancy
Ba1 Ba 0.000 0.000 0.000 1
Ba2 Ba 0.000 0.500 0.500 1
Na1 Na 0.500 0.000 0.500 1
Np1 Np 0.500 0.500 0.000 1
Te1 Te 0.275 0.500 0.246 1
Te2 Te 0.280 0.000 0.767 1
```

---

First-principles (PBE) data for a geometry-optimized CeErInRh structure, as listed in the Alexandria database.

Output
For the density of states at the Fermi level, the calculation gives 1.73 states/eV per atom. For the total energy, the calculation gives -89.51 eV/cell. As for the formation energy: -0.4480 eV per atom. The offset from the most stable computed form is 0.167 eV per atom. The value obtained for the magnetic moment is 0.52 μB per formula unit.

Geometry as CIF:
```
data_CeErInRh
_chemical_formula_sum 'Ce4 Er4 In4 Rh4'
_space_group_name_H-M_alt 'F -4 3 m'
_space_group_IT_number 216
_space_group_name_Hall 'F -4 2 3'
_cell_length_a 7.258
_cell_length_b 7.258
_cell_length_c 7.258
_cell_angle_alpha 90.00
_cell_angle_beta 90.00
_cell_angle_gamma 90.00
loop_
_atom_site_label
_atom_site_type_symbol
_atom_site_fract_x
_atom_site_fract_y
_atom_site_fract_z
_atom_site_occupancy
Ce1 Ce 0.000 0.000 0.000 1
Er1 Er 0.000 0.000 0.500 1
In1 In 0.250 0.250 0.750 1
Rh1 Rh 0.250 0.250 0.250 1
```

---

First-principles (PBE) data for a geometry-optimized FeNiAsSe structure, as listed in the Alexandria database.

Output
For the density of states at the Fermi level, the calculation gives 1.02 states/eV per atom. For the total energy, the calculation gives -45.45 eV/cell. The offset from the most stable computed form is 0.083 eV per atom. The value obtained for the magnetic moment is 1.90 μB per formula unit.

Geometry as CIF:
```
data_FeNiAsSe
_chemical_formula_sum 'Fe2 Ni2 As2 Se2'
_space_group_name_H-M_alt 'A m m 2'
_space_group_IT_number 38
_cell_length_a 3.272
_cell_length_b 3.312
_cell_length_c 11.458
_cell_angle_alpha 90.00
_cell_angle_beta 90.00
_cell_angle_gamma 90.00
loop_
_space_group_symop_operation_xyz
'x,y,z'
'-x,-y,z'
'-x,y,z'
'x,-y,z'
'x,y+1/2,z+1/2'
'-x,-y+1/2,z+1/2'
'-x,y+1/2,z+1/2'
'x,-y+1/2,z+1/2'
loop_
_atom_site_label
_atom_site_type_symbol
_atom_site_fract_x
_atom_site_fract_y
_atom_site_fract_z
_atom_site_occupancy
Fe1 Fe 0.000 0.000 0.000 1
Ni1 Ni 0.500 0.000 0.807 1
As1 As 0.000 0.000 0.345 1
Se1 Se 0.500 0.000 0.599 1
```

---

First-principles (PBE) data for a geometry-optimized MgTlPb2 structure, as listed in the Alexandria database.

Output
For the density of states at the Fermi level, the calculation gives 0.49 states/eV per atom. For the total energy, the calculation gives -11.44 eV/cell. As for the formation energy: -0.0156 eV per atom. The value obtained for the magnetic moment is 0.00 μB per formula unit.

Geometry as CIF:
```
data_MgTlPb2
_chemical_formula_sum 'Mg1 Tl1 Pb2'
_space_group_name_H-M_alt 'P 1 2/m 1'
_space_group_IT_number 10
_cell_length_a 3.436
_cell_length_b 4.352
_cell_length_c 7.797
_cell_angle_alpha 90.00
_cell_angle_beta 90.32
_cell_angle_gamma 90.00
loop_
_space_group_symop_operation_xyz
'x,y,z'
'-x,-y,-z'
'-x,y,-z'
'x,-y,z'
loop_
_atom_site_label
_atom_site_type_symbol
_atom_site_fract_x
_atom_site_fract_y
_atom_site_fract_z
_atom_site_occupancy
Mg1 Mg 0.000 0.000 0.000 1
Tl1 Tl 0.000 0.000 0.500 1
Pb1 Pb 0.500 0.500 0.221 1
```

---

First-principles (PBE) data for a geometry-optimized NaTaSe2N structure, as listed in the Alexandria database.

Output
For the density of states at the Fermi level, the calculation gives 0.57 states/eV per atom. For the total energy, the calculation gives -21.04 eV/cell. The offset from the most stable computed form is 1.933 eV per atom. The value obtained for the magnetic moment is 1.03 μB per formula unit.

Geometry as CIF:
```
data_NaTaSe2N
_chemical_formula_sum 'Na1 Ta1 Se2 N1'
_space_group_name_H-M_alt 'P 4/m m m'
_space_group_IT_number 123
_space_group_name_Hall '-P 4 2'
_cell_length_a 5.011
_cell_length_b 5.011
_cell_length_c 3.967
_cell_angle_alpha 90.00
_cell_angle_beta 90.00
_cell_angle_gamma 90.00
loop_
_atom_site_label
_atom_site_type_symbol
_atom_site_fract_x
_atom_site_fract_y
_atom_site_fract_z
_atom_site_occupancy
Na1 Na 0.000 0.000 0.000 1
Ta1 Ta 0.500 0.500 0.500 1
Se1 Se 0.000 0.500 0.000 1
N1 N 0.000 0.000 0.500 1
```

---

First-principles (PBE) data for a geometry-optimized MgTiTlHg structure, as listed in the Alexandria database.

Output
For the density of states at the Fermi level, the calculation gives 1.23 states/eV per atom. For the total energy, the calculation gives -47.20 eV/cell. As for the formation energy: 0.0896 eV per atom. The value obtained for the magnetic moment is 1.27 μB per formula unit.

Geometry as CIF:
```
data_MgTiTlHg
_chemical_formula_sum 'Mg4 Ti4 Tl4 Hg4'
_space_group_name_H-M_alt 'F -4 3 m'
_space_group_IT_number 216
_space_group_name_Hall 'F -4 2 3'
_cell_length_a 6.951
_cell_length_b 6.951
_cell_length_c 6.951
_cell_angle_alpha 90.00
_cell_angle_beta 90.00
_cell_angle_gamma 90.00
loop_
_atom_site_label
_atom_site_type_symbol
_atom_site_fract_x
_atom_site_fract_y
_atom_site_fract_z
_atom_site_occupancy
Mg1 Mg 0.000 0.000 0.000 1
Ti1 Ti 0.000 0.000 0.500 1
Tl1 Tl 0.250 0.250 0.250 1
Hg1 Hg 0.250 0.250 0.750 1
```

---

First-principles (PBE) data for a geometry-optimized LiAcTl6 structure, as listed in the Alexandria database.

Output
For the density of states at the Fermi level, the calculation gives 0.60 states/eV per atom. For the total energy, the calculation gives -21.39 eV/cell. As for the formation energy: -0.1458 eV per atom. The value obtained for the magnetic moment is 0.00 μB per formula unit.

Geometry as CIF:
```
data_LiAcTl6
_chemical_formula_sum 'Li1 Ac1 Tl6'
_space_group_name_H-M_alt 'P 4/m m m'
_space_group_IT_number 123
_space_group_name_Hall '-P 4 2'
_cell_length_a 7.475
_cell_length_b 7.475
_cell_length_c 4.184
_cell_angle_alpha 90.00
_cell_angle_beta 90.00
_cell_angle_gamma 90.00
loop_
_atom_site_label
_atom_site_type_symbol
_atom_site_fract_x
_atom_site_fract_y
_atom_site_fract_z
_atom_site_occupancy
Li1 Li 0.000 0.000 0.000 1
Ac1 Ac 0.500 0.500 0.000 1
Tl1 Tl 0.000 0.500 0.000 1
Tl2 Tl 0.227 0.227 0.500 1
```

---

First-principles (PBE) data for a geometry-optimized Os3AuI structure, as listed in the Alexandria database.

Output
For the density of states at the Fermi level, the calculation gives 1.40 states/eV per atom. For the total energy, the calculation gives -24.46 eV/cell. The offset from the most stable computed form is 0.000 eV per atom. The value obtained for the magnetic moment is 2.79 μB per formula unit.

Geometry as CIF:
```
data_Os3AuI
_chemical_formula_sum 'Os3 Au1 I1'
_space_group_name_H-M_alt 'P m -3 m'
_space_group_IT_number 221
_space_group_name_Hall '-P 4 2 3'
_cell_length_a 4.804
_cell_length_b 4.804
_cell_length_c 4.804
_cell_angle_alpha 90.00
_cell_angle_beta 90.00
_cell_angle_gamma 90.00
loop_
_atom_site_label
_atom_site_type_symbol
_atom_site_fract_x
_atom_site_fract_y
_atom_site_fract_z
_atom_site_occupancy
Os1 Os 0.000 0.000 0.500 1
Au1 Au 0.500 0.500 0.500 1
I1 I 0.000 0.000 0.000 1
```

---

First-principles (PBE) data for a geometry-optimized BaLiTlHg structure, as listed in the Alexandria database.

Output
For the density of states at the Fermi level, the calculation gives 0.81 states/eV per atom. For the total energy, the calculation gives -30.78 eV/cell. As for the formation energy: -0.2977 eV per atom. The offset from the most stable computed form is 0.048 eV per atom. The value obtained for the magnetic moment is 0.00 μB per formula unit.

Geometry as CIF:
```
data_BaLiTlHg
_chemical_formula_sum 'Ba4 Li4 Tl4 Hg4'
_space_group_name_H-M_alt 'F -4 3 m'
_space_group_IT_number 216
_space_group_name_Hall 'F -4 2 3'
_cell_length_a 7.891
_cell_length_b 7.891
_cell_length_c 7.891
_cell_angle_alpha 90.00
_cell_angle_beta 90.00
_cell_angle_gamma 90.00
loop_
_atom_site_label
_atom_site_type_symbol
_atom_site_fract_x
_atom_site_fract_y
_atom_site_fract_z
_atom_site_occupancy
Ba1 Ba 0.000 0.000 0.000 1
Li1 Li 0.000 0.000 0.500 1
Tl1 Tl 0.250 0.250 0.250 1
Hg1 Hg 0.250 0.250 0.750 1
```

---

First-principles (PBE) data for a geometry-optimized MgMn2Cu structure, as listed in the Alexandria database.

Output
For the density of states at the Fermi level, the calculation gives 0.95 states/eV per atom. For the total energy, the calculation gives -22.96 eV/cell. As for the formation energy: 0.2672 eV per atom. The value obtained for the magnetic moment is 7.30 μB per formula unit.

Geometry as CIF:
```
data_MgMn2Cu
_chemical_formula_sum 'Mg1 Mn2 Cu1'
_space_group_name_H-M_alt 'P 4/m m m'
_space_group_IT_number 123
_space_group_name_Hall '-P 4 2'
_cell_length_a 2.852
_cell_length_b 2.852
_cell_length_c 7.493
_cell_angle_alpha 90.00
_cell_angle_beta 90.00
_cell_angle_gamma 90.00
loop_
_atom_site_label
_atom_site_type_symbol
_atom_site_fract_x
_atom_site_fract_y
_atom_site_fract_z
_atom_site_occupancy
Mg1 Mg 0.000 0.000 0.000 1
Mn1 Mn 0.500 0.500 0.281 1
Cu1 Cu 0.000 0.000 0.500 1
```